First-principles (PBE-GGA) data for a geometry-optimized Ti3HgH structure, as listed in Alexandria via LeMat-Bulk.

Computed properties:
Crystal system = monoclinic
V = 14.92 Å³/atom
M_tot = 0.0 μB/cell
Final energy = -5.55 eV per atom

a = 7.3209 Å, b = 5.1741 Å, c = 9.8864 Å
α = 90.00°, β = 127.18°, γ = 90.00°
Last column: nearest neighbours and their distance in Å.
Atoms (fractional coordinates):
Ti: 0.0393 0.1497 0.3432  1 H 1.87
Ti: 0.0393 0.3503 0.8432  1 H 1.87
Ti: 0.2087 0.6418 0.5140  2 H 1.89-1.91
Ti: 0.2087 0.8582 0.0140  2 H 1.89-1.91
Ti: 0.2787 0.1876 0.7374  1 H 1.86
Ti: 0.2787 0.3124 0.2374  1 H 1.86
Ti: 0.7213 0.6876 0.7626  1 H 1.86
Ti: 0.7213 0.8124 0.2626  1 H 1.86
Ti: 0.7913 0.1418 0.9860  2 H 1.89-1.91
Ti: 0.7913 0.3582 0.4860  2 H 1.89-1.91
Ti: 0.9607 0.6497 0.1568  1 H 1.87
Ti: 0.9607 0.8503 0.6568  1 H 1.87
Hg: 0.4564 0.6975 0.8851  9 Ti 2.82-3.06, 1 Hg 2.83, 1 H 3.03
Hg: 0.4564 0.8025 0.3851  9 Ti 2.82-3.06, 1 Hg 2.83, 1 H 3.03
Hg: 0.5436 0.1975 0.6149  9 Ti 2.82-3.06, 1 Hg 2.83, 1 H 3.03
Hg: 0.5436 0.3025 0.1149  9 Ti 2.82-3.06, 1 Hg 2.83, 1 H 3.03
H: 0.0780 0.1668 0.0222  4 Ti 1.86-1.91, 1 H 1.97
H: 0.0780 0.3332 0.5222  4 Ti 1.86-1.91, 1 H 1.97
H: 0.9220 0.6668 0.4778  4 Ti 1.86-1.91, 1 H 1.97
H: 0.9220 0.8332 0.9778  4 Ti 1.86-1.91, 1 H 1.97